Compound: La2CrCu
Source: Alexandria
Functional: PBE-GGA
Structure: relaxed

a = 5.2220 Å, b = 5.2220 Å, c = 5.2220 Å
α = 60.00°, β = 60.00°, γ = 60.00°
Atoms (fractional coordinates):
1 La 0.2500 0.2500 0.2500
2 La 0.7500 0.7500 0.7500
3 Cr 0.0000 0.0000 0.0000
4 Cu 0.5000 0.5000 0.5000

Calculated values
N(E_F) = 3.94 states/eV/f.u.
Formation energy = 0.193 eV per atom
Crystal system = cubic
Energy relative to the lowest polymorph listed for this composition = 23 meV per atom
M_tot = 3.187 μB per cell